First-principles (GGA-PBE) data for a geometry-optimized SrNO structure, as listed in the Alexandria database.

Summary:
Total magnetization in μB/atom: 0.0000
Relative energy among the computed polymorphs in meV/atom: 0.0
Energy relative to the elements, uncorrected in eV/f.u.: -5.14
Calculated density in g cm⁻³: 3.15

The structure in extended XYZ format:
```
12
Lattice="-3.275 1.479 0.179 -1.826 -4.665 5.137 3.705 7.588 5.076" Properties=species:S:1:pos:R:3 pbc="T T T"
Sr -0.863 3.985 5.504
Sr 0.381 2.750 2.319
Sr -0.533 0.417 4.888
Sr -1.777 1.653 8.073
N -0.123 3.380 9.988
N -0.912 -1.885 2.903
N -1.273 1.023 0.404
N -0.484 6.288 7.489
O -1.681 2.388 3.763
O 1.197 4.348 4.060
O 0.285 2.015 6.629
O -2.593 0.055 6.332
```